Entry 1:
BeTlSCl2: relaxed, PBE.

Calculated values
raw formation energy	-0.51	eV per atom
VASP energy	-0.121	Ha/atom
energy above the lowest structure with this stoichiometry	0	meV/atom

abc: 4.403 4.403 5.150
angles: 90.00 90.00 90.00
Space group P4/mmm (No. 123)
Unique sites:
Be 0.000 0.000 0.000 [1 per cell]
Tl 0.500 0.500 0.500 [1 per cell]
S 0.000 0.000 0.500 [1 per cell]
Cl 0.000 0.500 0.000 [2 per cell]

=====

Entry 2:
Dy3CuN: relaxed, PBE.

Calculated values
raw formation energy	-0.63	eV per atom
VASP energy	-0.216	Ha/atom

abc: 4.739 4.739 4.739
angles: 90.00 90.00 90.00
Space group Pm-3m (No. 221)
Unique sites:
Dy 0.000 0.000 0.500 [3 per cell]
Cu 0.500 0.500 0.500 [1 per cell]
N 0.000 0.000 0.000 [1 per cell]

=====

Entry 3:
RbAsIr2Rh: relaxed, PBE.

Calculated values
VASP energy	-0.109	Ha/atom
formation energy	3.1646	eV/atom
energy above the lowest structure with this stoichiometry	221	meV/atom

abc: 4.815 4.815 5.205
angles: 90.00 90.00 90.00
Space group P4/mmm (No. 123)
Unique sites:
Rb 0.000 0.000 0.000 [1 per cell]
As 0.000 0.000 0.500 [1 per cell]
Ir 0.000 0.500 0.000 [2 per cell]
Rh 0.500 0.500 0.500 [1 per cell]

=====

Entry 4:
Te2MoH: relaxed, PBE.

Calculated values
VASP energy	-0.167	Ha/atom
energy above the lowest structure with this stoichiometry	642	meV/atom

abc: 6.698 6.698 6.698
angles: 90.00 90.00 90.00
Space group Fm-3m (No. 225)
Unique sites:
Te 0.250 0.250 0.250 [8 per cell]
Mo 0.000 0.000 0.000 [4 per cell]
H 0.000 0.000 0.500 [4 per cell]

=====

Entry 5:
LiCaMg6: relaxed, PBE.

Calculated values
VASP energy	-0.062	Ha/atom
formation energy	-0.0037	eV/atom
energy above the lowest structure with this stoichiometry	27	meV/atom

abc: 5.277 6.541 11.490
angles: 90.00 90.00 90.00
Space group Amm2 (No. 38)
Unique sites:
Li 0.000 0.000 0.000 [2 per cell]
Ca 0.500 0.000 0.168 [2 per cell]
Mg 0.000 0.000 0.514 [2 per cell]
Mg 0.000 0.244 0.766 [4 per cell]
Mg 0.500 0.000 0.679 [2 per cell]
Mg 0.500 0.249 0.920 [4 per cell]

=====

Entry 6:
CePm4Tl2: relaxed, PBE.

Calculated values
VASP energy	-0.153	Ha/atom
formation energy	0.0688	eV/atom
energy above the lowest structure with this stoichiometry	9	meV/atom

abc: 6.883 9.917 12.932
angles: 90.00 90.00 90.00
Space group Fmmm (No. 69)
Unique sites:
Ce 0.000 0.000 0.000 [4 per cell]
Pm 0.250 0.250 0.000 [8 per cell]
Pm 0.250 0.250 0.250 [8 per cell]
Tl 0.000 0.000 0.371 [8 per cell]

=====

Entry 7:
Ce5MgIr5: relaxed, PBE.

Calculated values
VASP energy	-0.272	Ha/atom
formation energy	-0.5237	eV/atom

abc: 12.093 5.524 8.461
angles: 90.00 110.24 90.00
Space group C2/m (No. 12)
Unique sites:
Ce 0.000 0.000 0.000 [2 per cell]
Ce 0.173 0.500 0.347 [4 per cell]
Ce 0.176 0.500 0.827 [4 per cell]
Mg 0.000 0.000 0.500 [2 per cell]
Ir 0.000 0.500 0.500 [2 per cell]
Ir 0.141 0.000 0.319 [4 per cell]
Ir 0.150 0.000 0.827 [4 per cell]

=====

Entry 8:
Tl2ZnCl: relaxed, PBE.

Calculated values
raw formation energy	-0.25	eV per atom
VASP energy	-0.081	Ha/atom
energy above the lowest structure with this stoichiometry	59	meV/atom

abc: 3.681 6.033 9.772
angles: 90.00 90.00 90.00
Space group Cmm2 (No. 35)
Unique sites:
Tl 0.000 0.000 0.000 [2 per cell]
Tl 0.000 0.500 0.304 [2 per cell]
Zn 0.000 0.500 0.766 [2 per cell]
Cl 0.000 0.000 0.599 [2 per cell]

=====

Entry 9:
K3Bi4Pt4: relaxed, PBE.

Calculated values
VASP energy	-0.153	Ha/atom
formation energy	-0.2550	eV/atom
energy above the lowest structure with this stoichiometry	30	meV/atom

abc: 4.779 5.274 26.156
angles: 90.00 90.00 90.00
Space group Immm (No. 71)
Unique sites:
K 0.000 0.000 0.000 [2 per cell]
K 0.000 0.500 0.362 [4 per cell]
Bi 0.000 0.000 0.245 [4 per cell]
Bi 0.000 0.500 0.097 [4 per cell]
Pt 0.000 0.000 0.450 [4 per cell]
Pt 0.000 0.500 0.201 [4 per cell]

=====

Entry 10:
BaHfNb2N: relaxed, PBE.

Calculated values
raw formation energy	0.24	eV per atom
VASP energy	-0.288	Ha/atom

abc: 4.320 4.320 5.398
angles: 90.00 90.00 90.00
Space group P4/mmm (No. 123)
Unique sites:
Ba 0.000 0.000 0.000 [1 per cell]
Hf 0.500 0.500 0.000 [1 per cell]
Nb 0.000 0.500 0.500 [2 per cell]
N 0.000 0.000 0.500 [1 per cell]

=====

Entry 11:
TmPd3O4: relaxed, PBE.

Calculated values
raw formation energy	-1.27	eV per atom
VASP energy	-0.230	Ha/atom

abc: 5.854 5.854 5.854
angles: 90.00 90.00 90.00
Space group Pm-3n (No. 223)
Unique sites:
Tm 0.000 0.000 0.000 [2 per cell]
Pd 0.000 0.250 0.500 [6 per cell]
O 0.250 0.250 0.250 [8 per cell]

=====

Entry 12:
MnNbGeHI: relaxed, PBE.

Calculated values
VASP energy	-0.206	Ha/atom
energy above the lowest structure with this stoichiometry	166	meV/atom

abc: 13.554 3.712 3.518
angles: 90.00 92.51 90.00
Space group Cm (No. 8)
Unique sites:
Mn 0.000 0.000 0.000 [2 per cell]
Nb 0.360 0.500 0.367 [2 per cell]
Ge 0.013 0.500 0.502 [2 per cell]
H 0.378 0.000 0.543 [2 per cell]
I 0.217 0.000 0.988 [2 per cell]

=====

Entry 13:
NiAgAs2: relaxed, PBE.

Calculated values
VASP energy	-0.157	Ha/atom
formation energy	0.2146	eV/atom
energy above the lowest structure with this stoichiometry	213	meV/atom

abc: 6.415 6.415 6.415
angles: 90.00 90.00 90.00
Space group Fm-3m (No. 225)
Unique sites:
Ni 0.000 0.000 0.000 [4 per cell]
Ag 0.000 0.000 0.500 [4 per cell]
As 0.250 0.250 0.250 [8 per cell]

=====

Entry 14:
CaB2N: relaxed, PBE.

Calculated values
raw formation energy	0.82	eV per atom
VASP energy	-0.187	Ha/atom

abc: 5.271 5.271 7.006
angles: 90.00 90.00 90.00
Space group I-42d (No. 122)
Unique sites:
Ca 0.000 0.000 0.000 [4 per cell]
B 0.099 0.250 0.625 [8 per cell]
N 0.000 0.000 0.500 [4 per cell]

=====

Entry 15:
Mg2NiMo: relaxed, PBE.

Calculated values
VASP energy	-0.172	Ha/atom
formation energy	0.2779	eV/atom
energy above the lowest structure with this stoichiometry	215	meV/atom

abc: 2.709 4.404 5.405
angles: 90.00 103.10 90.00
Space group P2/m (No. 10)
Unique sites:
Mg 0.185 0.000 0.259 [2 per cell]
Ni 0.000 0.500 0.500 [1 per cell]
Mo 0.500 0.500 0.000 [1 per cell]

=====

Entry 16:
V4CoPt4: relaxed, PBE.

Calculated values
VASP energy	-0.290	Ha/atom
formation energy	-0.3691	eV/atom

abc: 8.260 8.260 3.699
angles: 90.00 90.00 90.00
Space group I4/mmm (No. 139)
Unique sites:
V 0.000 0.333 0.000 [8 per cell]
Co 0.000 0.000 0.000 [2 per cell]
Pt 0.165 0.165 0.500 [8 per cell]

=====

Entry 17:
LaTbMgPa: relaxed, PBE.

Calculated values
VASP energy	-0.177	Ha/atom
formation energy	0.3329	eV/atom

abc: 7.736 7.736 7.736
angles: 90.00 90.00 90.00
Space group F-43m (No. 216)
Unique sites:
La 0.000 0.000 0.000 [4 per cell]
Tb 0.000 0.000 0.500 [4 per cell]
Mg 0.250 0.250 0.250 [4 per cell]
Pa 0.250 0.250 0.750 [4 per cell]

=====

Entry 18:
KLa2Ag: relaxed, PBE.

Calculated values
VASP energy	-0.121	Ha/atom
formation energy	0.1555	eV/atom
energy above the lowest structure with this stoichiometry	106	meV/atom

abc: 14.207 3.646 6.089
angles: 90.00 115.19 90.00
Space group C2/m (No. 12)
Unique sites:
K 0.000 0.000 0.000 [2 per cell]
La 0.209 0.000 0.708 [4 per cell]
Ag 0.000 0.500 0.500 [2 per cell]

=====

Entry 19:
La2TbTmHg2: relaxed, PBE.

Calculated values
VASP energy	-0.132	Ha/atom
formation energy	-0.3399	eV/atom

abc: 5.151 9.625 7.204
angles: 90.00 90.00 90.00
Space group Pmc2_1 (No. 26)
Unique sites:
La 0.000 0.056 0.000 [2 per cell]
La 0.500 0.172 0.310 [2 per cell]
Tb 0.500 0.446 0.968 [2 per cell]
Tm 0.000 0.328 0.652 [2 per cell]
Hg 0.000 0.368 0.226 [2 per cell]
Hg 0.500 0.165 0.749 [2 per cell]

=====

Entry 20:
PmPa2MnN4: relaxed, PBE.

Calculated values
raw formation energy	-1.31	eV per atom
VASP energy	-0.352	Ha/atom

abc: 3.384 11.706 11.486
angles: 90.00 90.00 90.00
Space group Cmcm (No. 63)
Unique sites:
Pm 0.000 0.105 0.250 [4 per cell]
Pa 0.000 0.368 0.058 [8 per cell]
Mn 0.000 0.158 0.750 [4 per cell]
N 0.000 0.000 0.000 [4 per cell]
N 0.000 0.271 0.620 [8 per cell]
N 0.000 0.445 0.250 [4 per cell]